Record 1
First-principles (PBE) data for an optimized crystal structure of Cd3SeF, as listed in the Alexandria database.

Cell and atoms, written as POSCAR:
```
Cd3SeF
1.0
4.847 0.000 0.000
0.000 4.847 0.000
0.000 0.000 4.847
Cd Se F
3 1 1
Direct
0.000 0.000 0.500
0.000 0.500 0.000
0.500 0.000 0.000
0.500 0.500 0.500
0.000 0.000 0.000
```

- Energy above the lowest structure with this stoichiometry: 0 meV per atom
- D(E_F): 3.945 states/eV/cell
- Formation energy (no corrections): -1.723 eV/f.u.
- Energy: -1.96 eV/atom


Record 2
First-principles (PBE) data for an optimized crystal structure of CdSeF, as listed in the Alexandria database.

Cell and atoms, written as POSCAR:
```
CdSeF
1.0
6.840 -2.167 0.000
6.840 2.167 0.000
-2.337 0.000 10.669
Cd Se F
4 4 4
Direct
0.204 0.204 0.114
0.283 0.283 0.604
0.717 0.717 0.396
0.796 0.796 0.886
0.314 0.314 0.352
0.440 0.440 0.908
0.560 0.560 0.092
0.686 0.686 0.648
0.219 0.219 0.915
0.439 0.439 0.714
0.561 0.561 0.286
0.781 0.781 0.085
```

- D(E_F): 0.076 states/eV/cell
- Formation energy (no corrections): -3.141 eV/f.u.
- Energy: -3.14 eV/atom